No. 1
The following is a GGA-PBE calculation of a relaxed structure of CdNiP2, from the Alexandria database.

Structure (POSCAR):
```
CdNiP2
1.0
3.6511 -0.0010 0.0414
2.0397 3.0282 0.0414
1.7983 0.9566 6.1547
Cd P Ni
1 2 1
Cartesian
5.6169 2.9879 4.6781
3.6648 1.9494 2.5677
5.7707 3.0697 0.6337
1.8723 0.9960 1.5594
```

The calculation puts the volume at 68 Å³ per cell. The calculation puts the uncorrected energy at -17.77 eV/cell.

=====

No. 2
The following is a GGA-PBE calculation of a relaxed structure of La12YCd6, from the Alexandria database.

Structure (POSCAR):
```
La12YCd6
1.0
-2.5972 -6.6198 -4.5576
7.4202 -3.8956 1.0504
-2.8104 -3.9287 6.9286
La Cd Y
12 6 1
Cartesian
-0.4648 -8.4310 3.6595
0.6384 -9.1794 -0.1486
-1.0834 -3.4172 -0.6425
3.0959 -11.0268 4.0640
2.4774 -6.0131 -0.2380
-0.3468 -11.6700 3.3738
2.3593 -2.7741 0.0477
1.3741 -5.2647 3.5701
2.0781 -11.9491 0.7692
-1.4023 -6.3002 0.8318
-0.0656 -2.4950 2.6523
3.4148 -8.1439 2.5897
-2.5203 -9.7428 1.3614
-1.9257 -5.1106 4.1312
2.3574 -8.0196 5.7667
4.5328 -4.7013 2.0601
3.9382 -9.3335 -0.7097
-0.3449 -6.4245 -2.3452
0.0000 0.0000 0.0000
```

The calculation puts the volume at 602 Å³ per cell. The calculation puts the uncorrected energy at -73.70 eV/cell.

=====

No. 3
The following is a GGA-PBE calculation of a relaxed structure of BaAg2Au2, from the Alexandria database.

Structure (POSCAR):
```
BaAg2Au2
1.0
8.2529 0.0000 0.0000
0.0000 8.2529 0.0000
0.0000 0.0000 3.3675
Au Ba Ag
4 2 4
Cartesian
5.1513 1.0248 0.0000
7.2281 5.1513 0.0000
1.0248 3.1016 0.0000
3.1016 7.2281 0.0000
0.0000 0.0000 0.0000
4.1265 4.1265 0.0000
1.3878 5.5143 1.6837
6.8651 2.7386 1.6837
5.5143 6.8651 1.6837
2.7386 1.3878 1.6837
```

The calculation puts the volume at 229 Å³ per cell. The calculation puts the uncorrected energy at -29.90 eV/cell.

=====

No. 4
The following is a GGA-PBE calculation of a relaxed structure of PuSnH, from the Alexandria database.

Structure (POSCAR):
```
PuSnH
1.0
-3.0367 0.2555 -1.0927
-1.0837 -1.4857 2.6644
1.0969 10.0935 4.1077
H Pu Sn
2 2 2
Cartesian
-2.4707 3.4234 2.8709
-0.5529 5.4398 2.8085
-2.6813 5.4965 3.9412
-0.3422 3.3668 1.7382
-2.1890 0.6519 1.4400
-0.8346 8.2114 4.2394
```

The calculation puts the volume at 112 Å³ per cell. The calculation puts the uncorrected energy at -45.18 eV/cell.